# CsHgSbS3 | Alexandria | GGA-PBE | optimized geometry
# E_tot in eV per atom: -3.453
data_CsHgSbS3
_symmetry_space_group_name_H-M 'P 1 21/m 1'
_symmetry_Int_Tables_number 11
_cell_length_a 9.516
_cell_length_b 4.177
_cell_length_c 10.405
_cell_angle_alpha 90.00
_cell_angle_beta 104.10
_cell_angle_gamma 90.00
loop_
_symmetry_equiv_pos_as_xyz
'x,y,z'
'-x,-y,-z'
'-x,y+1/2,-z'
'x,-y+1/2,z'
loop_
_atom_site_label
_atom_site_fract_x
_atom_site_fract_y
_atom_site_fract_z
Cs1 0.173 0.250 0.223
Hg1 0.119 0.250 0.612
Sb1 0.356 0.750 0.873
S1 0.166 0.250 0.869
S2 0.182 0.750 0.497
S3 0.430 0.750 0.116



# RbCd2Cl4 | Alexandria | GGA-PBE | optimized geometry
# E_tot in eV per atom: -2.516
data_RbCd2Cl4
_symmetry_space_group_name_H-M 'I 4/m'
_symmetry_Int_Tables_number 87
_symmetry_space_group_name_Hall '-I 4'
_cell_length_a 8.550
_cell_length_b 8.550
_cell_length_c 6.764
_cell_angle_alpha 90.00
_cell_angle_beta 90.00
_cell_angle_gamma 90.00
loop_
_atom_site_label
_atom_site_fract_x
_atom_site_fract_y
_atom_site_fract_z
Rb1 0.000 0.000 0.000
Cd1 0.000 0.500 0.250
Cl1 0.156 0.319 0.500



The lowest E_tot belongs to which entry? CsHgSbS3



Among the records above, which one has the lowest E_tot? CsHgSbS3